The following is a DFT calculation (GGA-PBE) of an optimized crystal structure of Ta2AlPt.

a b c (Å): 5.439 5.439 5.439
angles (deg): 147.67 127.81 62.74
Fractional positions:
Ta  0.747  0.247  0.500
Ta  0.008  0.008  0.000
Pt  0.262  0.762  0.500
Al  0.484  0.484  0.000

## Properties
E_form: -0.3572 eV/atom
uncorrected energy: -8.7293 eV per atom
symmetry: Imm2



The following is a DFT calculation (GGA-PBE) of an optimized crystal structure of TcNiAu2.

a b c (Å): 2.767 4.764 4.817
angles (deg): 90.00 90.00 90.00
Fractional positions:
Ni  0.500  0.000  0.500
Au  0.000  0.000  0.000
Au  0.500  0.500  0.000
Tc  0.000  0.500  0.500

## Properties
E_form: 0.4514 eV/atom
uncorrected energy: -5.2241 eV per atom
energy above the lowest structure with this stoichiometry: 326 meV per atom
symmetry: Pmmm



The following is a DFT calculation (GGA-PBE) of an optimized crystal structure of Ca2Nd3DyTe6.

a b c (Å): 7.673 7.673 7.872
angles (deg): 99.37 99.37 120.05
Fractional positions:
Nd  0.828  0.172  0.500
Nd  0.172  0.828  0.500
Nd  0.500  0.500  0.500
Te  0.409  0.080  0.239
Te  0.080  0.409  0.239
Te  0.753  0.753  0.246
Te  0.591  0.920  0.761
Te  0.247  0.247  0.754
Te  0.920  0.591  0.761
Dy  0.000  0.000  0.000
Ca  0.666  0.334  0.000
Ca  0.334  0.666  0.000

## Properties
uncorrected formation energy: -140.9 kJ/mol of atoms
uncorrected energy: -4.9401 eV per atom
symmetry: C2/m



The following is a DFT calculation (GGA-PBE) of an optimized crystal structure of Cd2H2Pd3.

a b c (Å): 3.184 6.426 5.124
angles (deg): 102.18 108.10 90.00
Fractional positions:
Cd  0.382  0.140  0.765
Cd  0.618  0.860  0.235
Pd  0.310  0.690  0.621
Pd  0.690  0.310  0.379
Pd  0.000  0.500  0.000
H  0.102  0.296  0.205
H  0.898  0.704  0.795

## Properties
uncorrected energy: -3.6311 eV per atom
energy above the lowest structure with this stoichiometry: 46 meV per atom
symmetry: C2/m



Repeat the fourth record exactly.
The following is a DFT calculation (GGA-PBE) of an optimized crystal structure of Cd2H2Pd3.

a b c (Å): 3.184 6.426 5.124
angles (deg): 102.18 108.10 90.00
Fractional positions:
Cd  0.382  0.140  0.765
Cd  0.618  0.860  0.235
Pd  0.310  0.690  0.621
Pd  0.690  0.310  0.379
Pd  0.000  0.500  0.000
H  0.102  0.296  0.205
H  0.898  0.704  0.795

## Properties
uncorrected energy: -3.6311 eV per atom
energy above the lowest structure with this stoichiometry: 46 meV per atom
symmetry: C2/m